(1)
VNi6Pd8: relaxed, PBE.

Total magnetic moment ... 4.2 μB per cell
VASP energy ... -5.546 eV/atom

```
VNi6Pd8
1.0
6.0235 0.6326 0.6533
0.4444 6.0403 0.6533
0.4444 0.4585 6.0582
Pd Ni V
8 6 1
Direct
0.9395 0.1683 0.6279
0.3721 0.0605 0.8317
0.8317 0.3721 0.0605
0.2378 0.2378 0.2378
0.6279 0.9395 0.1683
0.7622 0.7622 0.7622
0.0605 0.8317 0.3721
0.1683 0.6279 0.9395
0.2174 0.4464 0.5834
0.5834 0.2174 0.4464
0.7826 0.5536 0.4166
0.5536 0.4166 0.7826
0.4166 0.7826 0.5536
0.4464 0.5834 0.2174
0.0000 0.0000 0.0000
```



(2)
AlSnPPd2: relaxed, PBE.

Total magnetic moment ... 0.0 μB per cell
VASP energy ... -3.973 eV/atom

```
AlSnPPd2
1.0
5.0279 0.0000 0.0000
0.0000 4.9878 0.0000
0.0000 0.0000 5.0279
Pd Sn Al P
2 1 1 1
Direct
0.5000 0.0000 0.0000
0.0000 0.0000 0.5000
0.0000 0.0000 0.0000
0.5000 0.5000 0.5000
0.0000 0.5000 0.0000
```



(3)
RbSrCa2Zn: relaxed, PBE.

Total magnetic moment ... 0.0 μB per cell
VASP energy ... -1.540 eV/atom

```
RbSrCa2Zn
1.0
6.0834 0.0000 0.0000
0.0000 6.2992 0.0000
0.0000 0.0000 6.0834
Zn Sr Ca Rb
1 1 2 1
Direct
0.0000 0.0000 0.0000
0.0000 0.5000 0.0000
0.5000 0.0000 0.0000
0.0000 0.0000 0.5000
0.5000 0.5000 0.5000
```